[1]
Compound: Ac4La2Pm5
Source: the Alexandria database
Functional: PBE-GGA
Structure: optimized geometry

```
11
Lattice="-1.1514 -3.5591 0.0669 0.9030 -0.5231 -12.2860 9.3100 -1.0171 1.5063" Properties=species:S:1:pos:R:3 pbc="T T T"
Ac 6.4141 -2.1005 -1.3556
Ac 8.1337 -4.7412 -7.6287
Ac 2.6475 -2.9989 -9.3571
Ac 0.9280 -0.3582 -3.0841
La 3.5508 -3.1859 -3.7628
La 5.5109 -1.9135 -6.9499
Pm 6.8927 -4.2781 -4.3520
Pm 2.1690 -0.8213 -6.3607
Pm 5.9096 -4.0743 -10.4303
Pm -0.5757 -1.7796 0.0335
Pm 3.1521 -1.0250 -0.2824
```

Values from the calculation:
The value obtained for the energy of formation is 0.09 eV/atom. As for the space group: C2/m (12).

---

[2]
Compound: TlPb4S5
Source: the Alexandria database
Functional: PBE-GGA
Structure: optimized geometry

```
10
Lattice="-4.0301 4.0789 -1.5881 -6.3940 -2.8330 -2.1957 -4.2765 2.2588 5.5082" Properties=species:S:1:pos:R:3 pbc="T T T"
Tl -0.0060 0.0061 -0.0024
Pb -7.5958 2.3074 2.8822
Pb -10.9035 2.3632 0.2738
Pb -3.8074 1.1519 1.4466
Pb -7.1151 1.2077 -1.1619
S -9.6230 4.3230 2.0717
S -8.8682 0.3292 1.0444
S -5.8377 3.1808 0.6779
S -5.0829 -0.8130 -0.3493
S -2.0196 2.0440 -0.7958
```

Values from the calculation:
As for the space group: I4/m (87). The formation energy (no corrections) is -4.556 eV/f.u. For the relative energy among the computed polymorphs, the calculation gives 0.00 eV/f.u.

---

[3]
Compound: KCa2Mn
Source: the Alexandria database
Functional: PBE-GGA
Structure: optimized geometry

```
4
Lattice="-0.0571 -3.5469 -4.2628 5.3475 -1.1872 0.9161 -1.2857 -3.5188 2.9450" Properties=species:S:1:pos:R:3 pbc="T T T"
Ca 0.0000 0.0000 0.0000
Ca 2.6452 -2.3670 -1.6734
K -0.6714 -3.5328 -0.6589
Mn 2.0309 -2.3530 1.9306
```

Values from the calculation:
The value obtained for the energy of formation is 0.58 eV/atom. As for the space group: P4/mmm (123). For the relative energy among the computed polymorphs, the calculation gives 1.00 eV/f.u.

---

[4]
Compound: InAgIr2
Source: the Alexandria database
Functional: PBE-GGA
Structure: optimized geometry

```
4
Lattice="-0.4728 -2.7571 0.7910 0.0970 -1.1178 -3.8384 5.6538 -0.8570 0.3925" Properties=species:S:1:pos:R:3 pbc="T T T"
Ir 5.6461 -0.8558 0.3920
Ir 2.8347 -0.4297 0.1968
Ag 1.2256 -2.1517 -1.4256
In 4.0525 -2.5802 -1.2293
```

Values from the calculation:
The value obtained for the energy of formation is 0.31 eV/atom. As for the space group: Pmmm (47).

---

[5]
Compound: Pu3GeRh2
Source: the Alexandria database
Functional: PBE-GGA
Structure: optimized geometry

```
24
Lattice="9.7352 0.0000 -2.3262 0.0000 8.3322 0.0000 -1.5869 0.0000 6.4509" Properties=species:S:1:pos:R:3 pbc="T T T"
Pu 3.1618 7.7613 -0.2332
Pu 0.9123 3.5952 2.2956
Pu 4.9865 0.5709 4.3579
Pu 7.2360 4.7371 1.8291
Pu 3.8363 4.2548 0.0612
Pu 0.2378 0.0887 2.0011
Pu 4.3120 4.0774 4.0635
Pu 7.9105 8.2435 2.1236
Pu 8.5706 5.0889 -0.3870
Pu 5.2388 0.9228 0.1232
Pu -0.4223 3.2433 4.5117
Pu 2.9095 7.4094 4.0015
Ge 4.8654 6.6499 1.9120
Ge 7.3571 2.4838 4.2751
Ge 3.2830 1.6823 2.2127
Ge 0.7912 5.8484 -0.1504
Rh 6.0701 6.3361 -0.2734
Rh 7.7393 2.1700 0.0095
Rh 2.0782 1.9961 4.3981
Rh 0.4091 6.1622 4.1152
Rh 2.3429 5.9272 1.8474
Rh 1.7313 1.7611 0.2149
Rh 5.8054 2.4050 2.2773
Rh 6.4171 6.5712 3.9098
```

Values from the calculation:
The value obtained for the energy of formation is -0.36 eV/atom. As for the space group: P2_1/c (14). For the relative energy among the computed polymorphs, the calculation gives 0.00 eV/f.u.

---

[6]
Compound: PaAl2Pt2
Source: the Alexandria database
Functional: PBE-GGA
Structure: optimized geometry

```
10
Lattice="-3.0760 -0.6642 -2.7221 0.5979 -4.1047 0.3260 -6.9637 -0.3821 7.9621" Properties=species:S:1:pos:R:3 pbc="T T T"
Pa -3.2917 -0.4283 0.6441
Pa -4.9110 -2.3382 6.1199
Al -4.7208 -2.5755 2.7830
Al -3.4818 -0.1911 3.9811
Al -0.6164 -2.1026 1.2096
Al -7.5862 -0.6640 5.5544
Pt -2.2193 -2.1906 3.0423
Pt -5.9834 -0.5760 3.7218
Pt -1.2390 -2.3845 -1.1981
Pt 0.0000 0.0000 0.0000
```

Values from the calculation:
The value obtained for the energy of formation is -0.96 eV/atom. As for the space group: P4/nmm (129). For the relative energy among the computed polymorphs, the calculation gives 0.00 eV/f.u.

---

[7]
Compound: Ba2MgH5
Source: the Alexandria database
Functional: PBE-GGA
Structure: optimized geometry

```
8
Lattice="-3.6257 -1.9091 -4.1008 1.1128 -5.4704 1.5631 -1.7735 3.8208 3.8861" Properties=species:S:1:pos:R:3 pbc="T T T"
Ba -0.9420 -2.6702 2.0759
Ba -3.3111 -0.8897 -0.7560
Mg -4.2749 -3.5592 1.3385
H -2.5438 -2.7481 -2.7324
H -0.6297 -1.7401 -0.5673
H -1.9566 -5.6364 -1.9070
H -0.0421 -4.6282 0.2578
H -2.8334 -3.6217 0.0932
```

Values from the calculation:
For the raw total energy, the calculation gives -25.108 eV per cell. As for the space group: I4mm (107).

---

[8]
Compound: Pr6Ga5Ag
Source: the Alexandria database
Functional: PBE-GGA
Structure: optimized geometry

```
12
Lattice="-2.3214 1.8572 4.3779 -4.9280 3.0579 -7.0997 1.1562 -9.0085 1.2454" Properties=species:S:1:pos:R:3 pbc="T T T"
Pr -0.5084 -3.0539 1.0309
Pr -3.5414 -5.0919 0.2953
Pr -2.7051 -0.1089 1.8148
Pr -3.3880 -3.9845 -3.2912
Pr -2.5517 0.9986 -1.7717
Pr -5.5847 -1.0395 -2.5073
Ag 0.0000 0.0000 0.0000
Ga -0.9912 -6.1228 2.0808
Ga -0.8732 -4.9836 -1.5382
Ga -3.0465 -2.0467 -0.7382
Ga -2.8985 -0.9670 -4.3161
Ga -5.1018 2.0294 -3.5572
```

Values from the calculation:
The value obtained for the energy of formation is -0.49 eV/atom. As for the space group: C2/m (12).

---

[9]
Compound: TlPOs
Source: the Alexandria database
Functional: PBE-GGA
Structure: optimized geometry

```
3
Lattice="0.8625 -3.7078 -2.1743 0.5934 -3.7446 2.2013 -3.0210 -3.1699 -0.2124" Properties=species:S:1:pos:R:3 pbc="T T T"
Tl -0.7826 -5.3112 -0.0928
P 0.0000 0.0000 0.0000
Os -0.3913 -2.6556 -0.0464
```

Values from the calculation:
The value obtained for the energy of formation is 0.83 eV/atom. As for the space group: F-43m (216). For the relative energy among the computed polymorphs, the calculation gives 1.89 eV/f.u.

---

[10]
Compound: Cs2RbLuCl6
Source: the Alexandria database
Functional: PBE-GGA
Structure: optimized geometry

```
10
Lattice="8.0995 0.0000 0.0000 4.0497 7.0147 -0.0002 4.0497 2.3381 6.6140" Properties=species:S:1:pos:R:3 pbc="T T T"
Cs 12.1492 7.0146 4.9603
Cs 4.0497 2.3382 1.6535
Lu 0.0000 0.0000 0.0000
Rb 8.0995 4.6764 3.3069
Cl 5.8777 3.3934 5.1214
Cl 8.0995 7.2421 5.1213
Cl 10.3212 3.3934 5.1214
Cl 8.0995 2.1106 1.4926
Cl 5.8777 5.9593 1.4924
Cl 10.3212 5.9593 1.4924
```

Values from the calculation:
As for the space group: Fm-3m (225). The formation energy (no corrections) is -21.498 eV/f.u.

---

[11]
Compound: Ce2Fe3Os
Source: the Alexandria database
Functional: PBE-GGA
Structure: optimized geometry

```
6
Lattice="-0.8005 2.6179 -4.2704 -3.7141 -2.8483 1.9556 0.3736 2.6595 4.5778" Properties=species:S:1:pos:R:3 pbc="T T T"
Ce -1.9448 1.2230 -1.9000
Ce -2.1961 1.2062 4.1630
Fe -2.0705 1.2146 1.1315
Fe 0.1868 1.3297 2.2889
Fe -0.2134 2.6387 0.1537
Os 0.0000 0.0000 0.0000
```

Values from the calculation:
The value obtained for the energy of formation is -0.13 eV/atom. As for the space group: C2/m (12).

---

[12]
Compound: DyLuGaGe
Source: the Alexandria database
Functional: PBE-GGA
Structure: optimized geometry

```
4
Lattice="5.0107 0.0000 0.0000 2.5053 4.3394 0.0000 2.5053 1.4465 4.0912" Properties=species:S:1:pos:R:3 pbc="T T T"
Ge 2.5053 1.4465 1.0228
Lu 5.0107 2.8929 2.0456
Ga 7.5160 4.3394 3.0684
Dy 0.0000 0.0000 0.0000
```

Values from the calculation:
The value obtained for the energy of formation is -0.55 eV/atom. As for the space group: F-43m (216).

---

[13]
Compound: DyHoP2
Source: the Alexandria database
Functional: PBE-GGA
Structure: optimized geometry

```
4
Lattice="-3.3166 1.4321 1.7121 -0.2057 0.3453 3.9775 1.2304 6.6430 1.4974" Properties=species:S:1:pos:R:3 pbc="T T T"
Dy -1.1460 4.2102 3.5935
Ho 0.0000 0.0000 0.0000
P -1.7162 6.3226 5.3900
P -0.5757 2.0978 1.7970
```

Values from the calculation:
The value obtained for the energy of formation is -1.62 eV/atom. As for the space group: R-3m (166). For the relative energy among the computed polymorphs, the calculation gives 0.00 eV/f.u.

---

[14]
Compound: Li2CrRe
Source: the Alexandria database
Functional: PBE-GGA
Structure: optimized geometry

```
4
Lattice="4.5664 0.0000 0.0000 0.0000 3.4145 0.0000 0.0000 0.0000 3.4145" Properties=species:S:1:pos:R:3 pbc="T T T"
Cr 2.2832 0.0000 1.7072
Li 0.0000 0.0000 0.0000
Li 0.0000 1.7072 1.7072
Re 2.2832 1.7072 0.0000
```

Values from the calculation:
The value obtained for the energy of formation is 0.41 eV/atom. As for the space group: P4/mmm (123). For the relative energy among the computed polymorphs, the calculation gives 0.66 eV/f.u.

---

[15]
Compound: LiCaTm2Cd4
Source: the Alexandria database
Functional: PBE-GGA
Structure: optimized geometry

```
8
Lattice="5.1738 0.0000 0.0000 2.5869 4.4807 0.0000 2.5869 1.4936 8.4639" Properties=species:S:1:pos:R:3 pbc="T T T"
Li 5.1738 2.9871 4.2320
Ca 0.0000 0.0000 0.0000
Tm 7.7607 4.4807 6.3227
Tm 2.5869 1.4936 2.1413
Cd 5.1738 2.9871 7.2516
Cd 7.7607 4.4807 3.2391
Cd 2.5869 1.4936 5.2248
Cd 5.1738 2.9871 1.2123
```

Values from the calculation:
The value obtained for the energy of formation is -0.26 eV/atom. As for the space group: R-3m (166).

---

[16]
Compound: CSe2
Source: the Alexandria database
Functional: PBE-GGA
Structure: optimized geometry

```
3
Lattice="7.3502 -0.0129 -0.0077 6.7345 2.9449 -0.0077 6.7345 1.4019 2.5898" Properties=species:S:1:pos:R:3 pbc="T T T"
C 20.2125 4.2076 2.4994
Se 16.0958 3.3506 1.9904
Se 12.2691 2.5540 1.5172
```

Values from the calculation:
As for the space group: R3m (160). The formation energy (no corrections) is 4.084 eV/f.u. For the relative energy among the computed polymorphs, the calculation gives 2.40 eV/f.u.

---

[17]
Compound: Hf4In2Au
Source: the Alexandria database
Functional: PBE-GGA
Structure: optimized geometry

```
7
Lattice="-1.1638 -1.9665 2.1392 7.2105 -2.6739 1.4649 0.6307 4.8823 4.8311" Properties=species:S:1:pos:R:3 pbc="T T T"
Hf 6.9402 0.0439 6.1062
Hf 3.2159 -0.1556 1.6066
Hf 0.8571 0.5134 3.2283
Hf 5.7456 2.6795 5.5890
In 2.7560 1.6085 5.2680
In 5.0398 -1.0493 4.0674
Au 0.5605 0.1574 0.4496
```

Values from the calculation:
The value obtained for the energy of formation is 0.20 eV/atom. As for the space group: P2/m (10). For the relative energy among the computed polymorphs, the calculation gives 0.00 eV/f.u.

---

[18]
Compound: TlAsF3
Source: the Alexandria database
Functional: PBE-GGA
Structure: optimized geometry

```
10
Lattice="6.1511 0.3181 1.1211 -0.3386 4.1310 2.6502 0.0441 -0.5227 8.2088" Properties=species:S:1:pos:R:3 pbc="T T T"
Tl 5.3643 2.8502 6.3674
Tl 2.7490 1.5622 1.5258
As 2.1916 0.2810 5.5115
As -0.1853 3.2906 9.4693
F 0.5881 4.0543 3.0304
F 3.1055 1.1187 7.0264
F 5.0519 2.7710 9.0756
F 3.6646 0.8052 4.5528
F 4.4487 3.6073 3.3404
F 1.3740 0.0401 3.7416
```

Values from the calculation:
As for the space group: P-1 (2). The formation energy (no corrections) is -8.373 eV/f.u. For the relative energy among the computed polymorphs, the calculation gives 0.00 eV/f.u.

---

[19]
Compound: Cs2Hg3As2
Source: the Alexandria database
Functional: PBE-GGA
Structure: optimized geometry

```
14
Lattice="-1.6372 4.8480 -5.4209 -2.6785 -6.3508 -4.8707 -8.3728 1.5512 2.5818" Properties=species:S:1:pos:R:3 pbc="T T T"
Cs -2.5150 0.5134 -2.9952
Cs -7.5007 3.7588 -4.3796
Cs -5.1879 -3.7104 -3.3302
Cs -10.1735 -0.4649 -4.7146
Hg -6.3443 0.0242 -3.8549
Hg 0.0000 0.0000 0.0000
Hg -6.7091 -2.3574 -6.9704
Hg -3.6247 1.6524 -6.5828
Hg -9.0638 -1.6040 -1.1270
Hg -5.9795 2.4059 -0.7393
As -4.8538 -0.7210 -5.7732
As -3.8861 3.7951 -4.8816
As -8.8025 -3.7466 -2.8282
As -7.8347 0.7694 -1.9366
```

Values from the calculation:
The value obtained for the energy of formation is -0.28 eV/atom. As for the space group: P2_1/c (14).

---

[20]
Compound: CaLaCd
Source: the Alexandria database
Functional: PBE-GGA
Structure: optimized geometry

```
3
Lattice="-4.9240 -2.3084 4.9736 -1.5220 -3.1537 6.4845 -0.3665 2.9042 2.4499" Properties=species:S:1:pos:R:3 pbc="T T T"
Ca -6.2909 -5.2487 11.2283
La -4.5617 -2.8690 8.6661
Cd -2.4059 0.0976 5.4718
```

Values from the calculation:
The value obtained for the energy of formation is -0.20 eV/atom. As for the space group: I4mm (107). For the relative energy among the computed polymorphs, the calculation gives 0.04 eV/f.u.

---

[21]
Compound: SiAgP2
Source: the Alexandria database
Functional: PBE-GGA
Structure: optimized geometry

```
4
Lattice="-3.6755 3.8958 -0.6693 -1.7371 1.1843 -4.9714 0.5094 -3.8503 3.7484" Properties=species:S:1:pos:R:3 pbc="T T T"
Ag -1.9180 -0.1090 -1.9706
P -5.1484 4.8320 -5.3653
P -3.0154 1.3671 0.0468
Si -2.9404 2.7597 -3.0643
```

Values from the calculation:
As for the space group: Imm2 (44). The formation energy (no corrections) is 1.911 eV/f.u.

---

[22]
Compound: TbSc5Co2
Source: the Alexandria database
Functional: PBE-GGA
Structure: optimized geometry

```
16
Lattice="3.5146 0.0000 0.0000 -1.7573 5.8602 0.0000 0.0000 0.0000 16.7187" Properties=species:S:1:pos:R:3 pbc="T T T"
Tb 1.7573 1.6885 12.5390
Tb 0.0000 4.1716 4.1797
Sc 1.7573 5.0601 15.0119
Sc 1.7573 5.0601 10.0661
Sc 0.0000 4.0380 7.5950
Sc 0.0000 4.0380 0.7643
Sc 1.7573 1.4527 4.1797
Sc 0.0000 4.4074 12.5390
Sc 1.7573 1.8221 9.1237
Sc 1.7573 1.8221 15.9543
Sc 0.0000 0.8000 1.7068
Sc 0.0000 0.8000 6.6525
Co 1.7573 2.7381 6.3227
Co 1.7573 2.7381 2.0366
Co 0.0000 3.1220 10.3959
Co 0.0000 3.1220 14.6820
```

Values from the calculation:
The value obtained for the energy of formation is -0.12 eV/atom. As for the space group: Cmcm (63).

---

[23]
Compound: CaLa2InFe
Source: the Alexandria database
Functional: PBE-GGA
Structure: optimized geometry

```
5
Lattice="-4.0783 -3.0828 0.1628 2.2709 -3.1785 -3.3019 2.2991 -2.8149 4.2909" Properties=species:S:1:pos:R:3 pbc="T T T"
Ca 1.1496 -1.4075 2.1455
In 0.2459 -4.5381 0.5759
Fe 0.0000 0.0000 0.0000
La 1.1355 -1.5893 -1.6510
La -2.0391 -1.5414 0.0814
```

Values from the calculation:
The value obtained for the energy of formation is -0.08 eV/atom. As for the space group: P4/mmm (123). For the relative energy among the computed polymorphs, the calculation gives 0.14 eV/f.u.